Record 1
This record from the Alexandria database describes an optimized crystal structure of ScPaP2. The functional is PBE-GGA.

## Properties
Space group: P6_3/mmc, No. 194
ΔE to the lowest computed polymorph, eV/atom: 0.019
Formation enthalpy at 0 K, eV per atom: -1.36

Cell: 3.8032 3.8032 12.9254 Å, 90.00 90.00 120.00°
Sites, in units of the cell vectors:
1 Sc 0.0000 0.0000 0.0000
2 Sc 0.0000 0.0000 0.5000
3 Pa 0.3333 0.6667 0.2500
4 Pa 0.6667 0.3333 0.7500
5 P 0.3333 0.6667 0.6162
6 P 0.3333 0.6667 0.8838
7 P 0.6667 0.3333 0.1162
8 P 0.6667 0.3333 0.3838

=====

Record 2
This record from the Alexandria database describes an optimized crystal structure of Sc2PaP3. The functional is PBE-GGA.

## Properties
Space group: Pnma, No. 62
Formation enthalpy at 0 K, eV per atom: -1.42

Cell: 7.6805 5.4534 11.5069 Å, 90.00 90.00 90.00°
Sites, in units of the cell vectors:
1 Sc 0.1219 0.2500 0.0840
2 Sc 0.1249 0.2500 0.7490
3 Sc 0.3751 0.7500 0.2490
4 Sc 0.3781 0.7500 0.5840
5 Sc 0.6219 0.2500 0.4160
6 Sc 0.6249 0.2500 0.7510
7 Sc 0.8751 0.7500 0.2510
8 Sc 0.8781 0.7500 0.9160
9 Pa 0.1287 0.2500 0.4189
10 Pa 0.3713 0.7500 0.9189
11 Pa 0.6287 0.2500 0.0811
12 Pa 0.8713 0.7500 0.5811
13 P 0.1194 0.7500 0.0860
14 P 0.1239 0.7500 0.7492
15 P 0.1326 0.7500 0.4135
16 P 0.3674 0.2500 0.9135
17 P 0.3761 0.2500 0.2492
18 P 0.3806 0.2500 0.5860
19 P 0.6194 0.7500 0.4140
20 P 0.6239 0.7500 0.7508
21 P 0.6326 0.7500 0.0865
22 P 0.8674 0.2500 0.5865
23 P 0.8761 0.2500 0.2508
24 P 0.8806 0.2500 0.9140

=====

Record 3
This record from the Alexandria database describes an optimized crystal structure of ScPaPSe. The functional is PBE-GGA.

## Properties
Space group: R3m, No. 160
Raw formation energy, kJ per mole of atoms: -131.3

Cell: 7.2982 7.2982 7.2982 Å, 30.09 30.09 30.09°
Sites, in units of the cell vectors:
1 Sc 0.0000 0.0000 0.0000
2 Pa 0.1854 0.1854 0.1854
3 P 0.5984 0.5984 0.5984
4 Se 0.7560 0.7560 0.7560

=====

Record 4
This record from the Alexandria database describes an optimized crystal structure of Sm3ScPa2P6. The functional is PBE-GGA.

## Properties
Space group: C2/m, No. 12
Formation enthalpy at 0 K, eV per atom: -1.47

Cell: 6.9158 6.9158 6.9629 Å, 99.54 99.54 120.00°
Sites, in units of the cell vectors:
1 Sm 0.0000 0.0000 0.0000
2 Sm 0.3327 0.6673 0.0000
3 Sm 0.6673 0.3327 0.0000
4 Sc 0.5000 0.5000 0.5000
5 Pa 0.1662 0.8338 0.5000
6 Pa 0.8338 0.1662 0.5000
7 P 0.0921 0.4224 0.2667
8 P 0.2487 0.2487 0.7359
9 P 0.4224 0.0921 0.2667
10 P 0.5776 0.9079 0.7333
11 P 0.7513 0.7513 0.2641
12 P 0.9079 0.5776 0.7333

=====

Record 5
This record from the Alexandria database describes an optimized crystal structure of Sm3Sc2PaP6. The functional is PBE-GGA.

## Properties
Space group: C2/m, No. 12
Formation enthalpy at 0 K, eV per atom: -1.50

Cell: 6.8599 6.8599 6.9069 Å, 99.52 99.52 120.02°
Sites, in units of the cell vectors:
1 Sm 0.0000 0.0000 0.0000
2 Sm 0.3336 0.6664 0.0000
3 Sm 0.6664 0.3336 0.0000
4 Sc 0.1667 0.8333 0.5000
5 Sc 0.8333 0.1667 0.5000
6 Pa 0.5000 0.5000 0.5000
7 P 0.0864 0.4229 0.2683
8 P 0.2402 0.2402 0.7298
9 P 0.4229 0.0864 0.2683
10 P 0.5771 0.9136 0.7317
11 P 0.7598 0.7598 0.2702
12 P 0.9136 0.5771 0.7317

=====

Record 6
This record from the Alexandria database describes an optimized crystal structure of Sm2ScPaP4. The functional is PBE-GGA.

## Properties
Space group: P2/m, No. 10
Formation enthalpy at 0 K, eV per atom: -1.48

Cell: 6.8536 3.9969 6.9399 Å, 90.00 109.43 90.00°
Sites, in units of the cell vectors:
1 Sm 0.0000 0.0000 0.0000
2 Sm 0.5000 0.5000 0.0000
3 Sc 0.0000 0.5000 0.5000
4 Pa 0.5000 0.0000 0.5000
5 P 0.2409 0.0000 0.7306
6 P 0.2504 0.5000 0.2651
7 P 0.7496 0.5000 0.7349
8 P 0.7591 0.0000 0.2694

=====

Record 7
This record from the Alexandria database describes an optimized crystal structure of SmScPa2P4. The functional is PBE-GGA.

## Properties
Space group: P2/m, No. 10
Formation enthalpy at 0 K, eV per atom: -1.39

Cell: 6.8277 3.9638 6.8587 Å, 90.00 109.57 90.00°
Sites, in units of the cell vectors:
1 Sm 0.0000 0.0000 0.0000
2 Sc 0.0000 0.5000 0.5000
3 Pa 0.5000 0.0000 0.5000
4 Pa 0.5000 0.5000 0.0000
5 P 0.2466 0.0000 0.7402
6 P 0.2530 0.5000 0.2601
7 P 0.7470 0.5000 0.7399
8 P 0.7534 0.0000 0.2598

=====

Record 8
This record from the Alexandria database describes an optimized crystal structure of Sm4ScPa3P8. The functional is PBE-GGA.

## Properties
Space group: R-3m, No. 166
Formation enthalpy at 0 K, eV per atom: -1.46

Cell: 8.0366 8.0366 8.0366 Å, 59.71 59.71 59.71°
Sites, in units of the cell vectors:
1 Sm 0.0000 0.0000 0.0000
2 Sm 0.0000 0.5000 0.5000
3 Sm 0.5000 0.0000 0.5000
4 Sm 0.5000 0.5000 0.0000
5 Sc 0.5000 0.5000 0.5000
6 Pa 0.0000 0.0000 0.5000
7 Pa 0.0000 0.5000 0.0000
8 Pa 0.5000 0.0000 0.0000
9 P 0.2465 0.2465 0.2465
10 P 0.2481 0.7429 0.7429
11 P 0.2571 0.2571 0.7519
12 P 0.2571 0.7519 0.2571
13 P 0.7429 0.2481 0.7429
14 P 0.7429 0.7429 0.2481
15 P 0.7519 0.2571 0.2571
16 P 0.7535 0.7535 0.7535

=====

Record 9
This record from the Alexandria database describes an optimized crystal structure of Sr3ScPa2P6. The functional is PBE-GGA.

## Properties
Space group: C2/m, No. 12
Formation enthalpy at 0 K, eV per atom: -1.26

Cell: 7.0762 7.0762 7.2984 Å, 99.30 99.30 119.99°
Sites, in units of the cell vectors:
1 Sr 0.0000 0.0000 0.0000
2 Sr 0.3339 0.6661 0.0000
3 Sr 0.6661 0.3339 0.0000
4 Sc 0.5000 0.5000 0.5000
5 Pa 0.1668 0.8332 0.5000
6 Pa 0.8332 0.1668 0.5000
7 P 0.0963 0.4293 0.2879
8 P 0.2377 0.2377 0.7125
9 P 0.4293 0.0963 0.2879
10 P 0.5707 0.9037 0.7121
11 P 0.7623 0.7623 0.2875
12 P 0.9037 0.5707 0.7121

=====

Record 10
This record from the Alexandria database describes an optimized crystal structure of Tb4ScPa3P8. The functional is PBE-GGA.

## Properties
Space group: R-3m, No. 166
Formation enthalpy at 0 K, eV per atom: -1.48

Cell: 7.9495 7.9495 7.9495 Å, 59.85 59.85 59.85°
Sites, in units of the cell vectors:
1 Tb 0.0000 0.0000 0.0000
2 Tb 0.0000 0.5000 0.5000
3 Tb 0.5000 0.0000 0.5000
4 Tb 0.5000 0.5000 0.0000
5 Sc 0.5000 0.5000 0.5000
6 Pa 0.0000 0.0000 0.5000
7 Pa 0.0000 0.5000 0.0000
8 Pa 0.5000 0.0000 0.0000
9 P 0.2487 0.2487 0.2487
10 P 0.2505 0.7447 0.7447
11 P 0.2553 0.2553 0.7495
12 P 0.2553 0.7495 0.2553
13 P 0.7447 0.2505 0.7447
14 P 0.7447 0.7447 0.2505
15 P 0.7495 0.2553 0.2553
16 P 0.7513 0.7513 0.7513

=====

Record 11
This record from the Alexandria database describes an optimized crystal structure of TbSc2PaP4. The functional is PBE-GGA.

## Properties
Space group: P2/m, No. 10
Formation enthalpy at 0 K, eV per atom: -1.47

Cell: 6.6639 3.8957 6.7445 Å, 90.00 109.66 90.00°
Sites, in units of the cell vectors:
1 Tb 0.0000 0.0000 0.0000
2 Sc 0.5000 0.0000 0.5000
3 Sc 0.5000 0.5000 0.0000
4 Pa 0.0000 0.5000 0.5000
5 P 0.2638 0.0000 0.7524
6 P 0.2635 0.5000 0.2590
7 P 0.7362 0.0000 0.2476
8 P 0.7365 0.5000 0.7410

=====

Record 12
This record from the Alexandria database describes an optimized crystal structure of ScPaTeP. The functional is PBE-GGA.

## Properties
Space group: R3m, No. 160
Raw formation energy, kJ per mole of atoms: -110.9

Cell: 7.5437 7.5437 7.5437 Å, 30.00 30.00 30.00°
Sites, in units of the cell vectors:
1 Sc 0.0000 0.0000 0.0000
2 Pa 0.8040 0.8040 0.8040
3 Te 0.2389 0.2389 0.2389
4 P 0.3969 0.3969 0.3969

=====

Record 13
This record from the Alexandria database describes an optimized crystal structure of ThSc2PaP4. The functional is PBE-GGA.

## Properties
Space group: P2/m, No. 10
Formation enthalpy at 0 K, eV per atom: -1.44

Cell: 6.7050 3.9385 6.8238 Å, 90.00 109.77 90.00°
Sites, in units of the cell vectors:
1 Th 0.0000 0.0000 0.0000
2 Sc 0.5000 0.0000 0.5000
3 Sc 0.5000 0.5000 0.0000
4 Pa 0.0000 0.5000 0.5000
5 P 0.2669 0.0000 0.7489
6 P 0.2702 0.5000 0.2642
7 P 0.7298 0.5000 0.7358
8 P 0.7331 0.0000 0.2511

=====

Record 14
This record from the Alexandria database describes an optimized crystal structure of Th2ScPaP4. The functional is PBE-GGA.

## Properties
Space group: P2/m, No. 10
Formation enthalpy at 0 K, eV per atom: -1.45

Cell: 6.9289 4.0256 6.9535 Å, 90.00 109.54 90.00°
Sites, in units of the cell vectors:
1 Th 0.0000 0.0000 0.0000
2 Th 0.5000 0.5000 0.0000
3 Sc 0.0000 0.5000 0.5000
4 Pa 0.5000 0.0000 0.5000
5 P 0.2391 0.0000 0.7290
6 P 0.2502 0.5000 0.2683
7 P 0.7498 0.5000 0.7317
8 P 0.7609 0.0000 0.2710

=====

Record 15
This record from the Alexandria database describes an optimized crystal structure of ScUPa2P4. The functional is PBE-GGA.

## Properties
Space group: P2/m, No. 10
Formation enthalpy at 0 K, eV per atom: -1.26

Cell: 6.7592 3.9125 6.7737 Å, 90.00 109.43 90.00°
Sites, in units of the cell vectors:
1 Sc 0.0000 0.0000 0.0000
2 U 0.0000 0.5000 0.5000
3 Pa 0.5000 0.0000 0.5000
4 Pa 0.5000 0.5000 0.0000
5 P 0.2394 0.5000 0.2420
6 P 0.2417 0.0000 0.7531
7 P 0.7583 0.0000 0.2469
8 P 0.7606 0.5000 0.7580

=====

Record 16
This record from the Alexandria database describes an optimized crystal structure of ScU4Pa3P8. The functional is PBE-GGA.

## Properties
Space group: R-3m, No. 166
Formation enthalpy at 0 K, eV per atom: -1.16

Cell: 7.9011 7.9011 7.9011 Å, 59.23 59.23 59.23°
Sites, in units of the cell vectors:
1 Sc 0.0000 0.0000 0.0000
2 U 0.0000 0.0000 0.5000
3 U 0.0000 0.5000 0.0000
4 U 0.5000 0.0000 0.0000
5 U 0.5000 0.5000 0.5000
6 Pa 0.0000 0.5000 0.5000
7 Pa 0.5000 0.0000 0.5000
8 Pa 0.5000 0.5000 0.0000
9 P 0.2432 0.7546 0.7546
10 P 0.2454 0.2454 0.7568
11 P 0.2454 0.7568 0.2454
12 P 0.2489 0.2489 0.2489
13 P 0.7511 0.7511 0.7511
14 P 0.7546 0.2432 0.7546
15 P 0.7546 0.7546 0.2432
16 P 0.7568 0.2454 0.2454

=====

Record 17
This record from the Alexandria database describes an optimized crystal structure of ScU2PaP4. The functional is PBE-GGA.

## Properties
Space group: P2/m, No. 10
Formation enthalpy at 0 K, eV per atom: -1.18

Cell: 6.7191 3.8885 6.8320 Å, 90.00 109.16 90.00°
Sites, in units of the cell vectors:
1 Sc 0.0000 0.0000 0.0000
2 U 0.0000 0.5000 0.5000
3 U 0.5000 0.0000 0.5000
4 Pa 0.5000 0.5000 0.0000
5 P 0.2413 0.5000 0.2433
6 P 0.2428 0.0000 0.7531
7 P 0.7572 0.0000 0.2469
8 P 0.7587 0.5000 0.7567

=====

Record 18
This record from the Alexandria database describes an optimized crystal structure of Zr2ScPaP4. The functional is PBE-GGA.

## Properties
Space group: P2/m, No. 10
Formation enthalpy at 0 K, eV per atom: -1.40

Cell: 6.5620 3.8218 6.6064 Å, 90.00 109.48 90.00°
Sites, in units of the cell vectors:
1 Zr 0.0000 0.0000 0.0000
2 Zr 0.5000 0.5000 0.0000
3 Sc 0.0000 0.5000 0.5000
4 Pa 0.5000 0.0000 0.5000
5 P 0.2409 0.5000 0.2421
6 P 0.2462 0.0000 0.7522
7 P 0.7538 0.0000 0.2478
8 P 0.7591 0.5000 0.7579

=====

Record 19
This record from the Alexandria database describes an optimized crystal structure of Pa4P2Se3. The functional is PBE-GGA.

## Properties
Space group: C2/c, No. 15
Raw formation energy, kJ per mole of atoms: -107.5

Cell: 8.8539 8.8539 5.6557 Å, 90.56 90.56 77.00°
Sites, in units of the cell vectors:
1 Pa 0.0491 0.7388 0.9816
2 Pa 0.1915 0.4404 0.5364
3 Pa 0.2612 0.9509 0.5184
4 Pa 0.4404 0.1915 0.0364
5 Pa 0.5596 0.8085 0.9636
6 Pa 0.7388 0.0491 0.4816
7 Pa 0.8085 0.5596 0.4636
8 Pa 0.9509 0.2612 0.0184
9 P 0.1858 0.4270 0.0425
10 P 0.4270 0.1858 0.5425
11 P 0.5730 0.8142 0.4575
12 P 0.8142 0.5730 0.9575
13 Se 0.0130 0.7750 0.4802
14 Se 0.2250 0.9870 0.0198
15 Se 0.3651 0.6349 0.7500
16 Se 0.6349 0.3651 0.2500
17 Se 0.7750 0.0130 0.9802
18 Se 0.9870 0.2250 0.5198

=====

Record 20
This record from the Alexandria database describes an optimized crystal structure of Pa6P5Se. The functional is PBE-GGA.

## Properties
Space group: C2/m, No. 12
Raw formation energy, kJ per mole of atoms: -127.6

Cell: 6.9003 6.9003 6.8986 Å, 99.59 99.59 119.88°
Sites, in units of the cell vectors:
1 Pa 0.0725 0.4145 0.7440
2 Pa 0.2425 0.2425 0.2537
3 Pa 0.4145 0.0725 0.7440
4 Pa 0.5855 0.9275 0.2560
5 Pa 0.7575 0.7575 0.7463
6 Pa 0.9275 0.5855 0.2560
7 P 0.0000 0.0000 0.5000
8 P 0.1673 0.8327 0.0000
9 P 0.3370 0.6630 0.5000
10 P 0.6630 0.3370 0.5000
11 P 0.8327 0.1673 0.0000
12 Se 0.5000 0.5000 0.0000

=====

Record 21
This record from the Alexandria database describes an optimized crystal structure of PaP2Se8. The functional is PBE-GGA.

## Properties
Space group: C2/m, No. 12
Raw formation energy, kJ per mole of atoms: -32.9

Cell: 7.5639 7.5639 6.1965 Å, 93.88 93.88 98.39°
Sites, in units of the cell vectors:
1 Pa 0.0000 0.0000 0.0000
2 P 0.2284 0.2284 0.4348
3 P 0.7716 0.7716 0.5652
4 Se 0.0417 0.7208 0.7022
5 Se 0.2544 0.2544 0.8092
6 Se 0.2792 0.9583 0.2978
7 Se 0.4351 0.4351 0.3073
8 Se 0.5649 0.5649 0.6927
9 Se 0.7208 0.0417 0.7022
10 Se 0.7456 0.7456 0.1908
11 Se 0.9583 0.2792 0.2978

=====

Record 22
This record from the Alexandria database describes an optimized crystal structure of PaPSe. The functional is PBE-GGA.

## Properties
Space group: P3m1, No. 156
Raw formation energy, kJ per mole of atoms: -67.9
ΔE to the lowest computed polymorph, eV/atom: 0.539

Cell: 4.5097 4.5097 3.9977 Å, 90.00 90.00 120.00°
Sites, in units of the cell vectors:
1 Pa 0.0000 0.0000 0.0000
2 P 0.3333 0.6667 0.0698
3 Se 0.6667 0.3333 0.5389

=====

Respective total DFT energy (no corrections) values: -8.018, -7.814, -7.541, -7.464, -7.231, -7.345, -7.852, -7.523, -6.492, -7.518, -7.528, -7.244, -7.839, -7.989, -8.545, -8.863, -8.682, -8.219, -7.698, -8.615, -4.722, -6.833 eV/atom.